# ScMo3

A PBEsol-optimized structure of ScMo3 (SCAN, the Alexandria database). Values from VASP.

energy of formation: 122.8 meV per atom

The structure in Quantum ESPRESSO input format:
```
&SYSTEM
  ibrav = 0, nat = 4, ntyp = 2
/
ATOMIC_SPECIES
Sc 44.96 Sc.upf
Mo 95.94 Mo.upf
CELL_PARAMETERS angstrom
3.139 0.000 0.000
0.000 3.139 0.000
0.000 0.000 6.652
ATOMIC_POSITIONS crystal
Sc 0.000 0.000 0.000
Mo 0.000 0.000 0.500
Mo 0.500 0.500 0.274
Mo 0.500 0.500 0.726
```

=====

# Zn2HgTe

A PBEsol-optimized structure of Zn2HgTe (SCAN, the Alexandria database). Values from VASP.

formation energy without anion corrections: 181 meV/atom
relative energy among the computed polymorphs: 58 meV per atom

The structure in Quantum ESPRESSO input format:
```
&SYSTEM
  ibrav = 0, nat = 4, ntyp = 3
/
ATOMIC_SPECIES
Zn 65.41 Zn.upf
Hg 200.59 Hg.upf
Te 127.60 Te.upf
CELL_PARAMETERS angstrom
3.100 0.000 0.000
0.000 3.100 0.000
0.000 0.000 8.665
ATOMIC_POSITIONS crystal
Zn 0.000 0.000 0.000
Zn 0.500 0.500 0.169
Hg 0.000 0.000 0.400
Te 0.500 0.500 0.733
```